# 1
5
Lattice="4.9670 0.0000 0.0000 0.0000 4.9670 0.0000 0.0000 0.0000 4.9670" Properties=species:S:1:pos:R:3 comment="KSiAs3 | Alexandria | PBE-GGA | relaxed" magnetic_moment_mub_per_cell=0.000 e_tot_ev_per_atom=-3.803 e_above_lowest_polymorph_mev_per_atom=0.0 e_form_raw_ev_per_fu=1.45 pbc="T T T"
K 0.0000 0.0000 0.0000
Si 2.4835 2.4835 2.4835
As 0.0000 2.4835 2.4835
As 2.4835 0.0000 2.4835
As 2.4835 2.4835 0.0000

***

# 2
8
Lattice="9.1034 0.0000 0.0000 0.0000 3.6768 0.0000 -2.0627 0.0000 6.1119" Properties=species:S:1:pos:R:3 comment="KSiAs2 | Alexandria | PBE-GGA | relaxed" magnetic_moment_mub_per_cell=0.000 e_tot_ev_per_atom=-3.941 e_form_raw_ev_per_fu=0.05 pbc="T T T"
K 0.0000 0.0000 0.0000
K 4.5517 1.8384 0.0000
Si -1.0314 1.8384 3.0559
Si 3.5204 0.0000 3.0559
As 0.6068 0.0000 3.8249
As 1.8822 1.8384 2.2870
As 5.1586 1.8384 3.8249
As 6.4339 0.0000 2.2870

***

# 3
8
Lattice="6.4659 0.0000 0.0000 0.0000 9.7338 0.0000 -0.0064 0.0000 2.7566" Properties=species:S:1:pos:R:3 comment="KSiAs2 | Alexandria | PBE-GGA | relaxed" magnetic_moment_mub_per_cell=0.000 e_tot_ev_per_atom=-3.588 e_form_raw_ev_per_fu=1.47 pbc="T T T"
K 0.0000 0.0000 0.0000
K 3.2330 4.8669 0.0000
Si 0.0000 4.8669 0.0000
Si 3.2330 0.0000 0.0000
As 1.6133 2.4335 1.3783
As 1.6133 7.3004 1.3783
As 4.8462 2.4335 1.3783
As 4.8462 7.3004 1.3783